Compound: SnHgPb6
Source: Alexandria
Functional: PBE
Structure: relaxed

Geometry as POSCAR:
```
SnHgPb6
1.0
-2.5462 -2.5208 -3.4265
4.2489 -1.6998 -1.9069
-0.4076 -7.7781 6.0251
Sn Hg Pb
1 1 6
direct
0.0000 0.0000 0.5000
0.0000 0.0000 0.0000
0.5000 0.5000 0.0000
0.5000 0.5000 0.5000
0.5000 0.0000 0.2474
0.5000 0.0000 0.7526
0.0000 0.5000 0.2474
0.0000 0.5000 0.7526
```

Calculated values
Its space group is P4/mmm, No. 123. The spin magnetization is 0.0000 μB/atom. The value obtained for the total energy is -26.4 eV/cell. Its formation enthalpy at 0 K is 0.018 eV per atom.